Entry from OQMD via LeMat-Bulk: a relaxed structure of NdTcHg (PBE).

## Properties
VASP energy = -0.304 Ry/atom
distance to the lowest polymorph of the same formula = 1.06 eV per formula unit
ΔH_f (0 K) = 1.00 eV per atom
total moment = 2.075 μB/cell
space-group type = No. 216

Cell lengths 4.9074, 4.9074, 4.9074 Å; angles 60.00, 60.00, 60.00 degrees
Closest atoms and distances in Å follow each position.
Fractional coordinates of all 3 atoms:
Hg  0.2500  0.2500  0.2500  4 Nd 3.01
Tc  0.7500  0.7500  0.7500  4 Nd 3.01
Nd  0.0000  0.0000  0.0000  4 Tc 3.01, 4 Hg 3.01